A plane-wave DFT calculation with PBE was carried out for an optimized crystal structure of Ac3Nd3Tl2Hg.

```
Ac3Nd3Tl2Hg
1.0
9.4942 0.0000 0.0000
-4.7471 8.2222 0.0000
0.0000 0.0000 3.9943
Ac Nd Tl Hg
3 3 2 1
direct
0.0000 0.7257 0.0000
0.2743 0.2743 0.0000
0.7257 0.0000 0.0000
0.0000 0.3966 0.5000
0.3966 0.0000 0.5000
0.6034 0.6034 0.5000
0.3333 0.6667 0.0000
0.6667 0.3333 0.0000
0.0000 0.0000 0.5000
```

* magnetic moment: 0.000 μB/cell
* energy of formation from the pure elements: -0.244 eV per atom
* total DFT energy (no corrections): -33.86 eV for the cell shown


A plane-wave DFT calculation with PBE was carried out for an optimized crystal structure of AcNdZnHg.

```
AcNdZnHg
1.0
3.8604 0.0000 0.0000
0.0000 3.8604 0.0000
0.0000 0.0000 7.7608
Ac Nd Zn Hg
1 1 1 1
direct
0.0000 0.0000 0.0000
0.0000 0.0000 0.4691
0.5000 0.5000 0.2576
0.5000 0.5000 0.7123
```

* relative energy among the computed polymorphs: 0.0 kJ per mole of atoms
* magnetic moment: 0.000 μB/cell
* energy of formation from the pure elements: -0.370 eV per atom
* total DFT energy (no corrections): -11.93 eV for the cell shown


A plane-wave DFT calculation with PBE was carried out for an optimized crystal structure of AcNdZnHg.

```
AcNdZnHg
1.0
0.0000 3.8843 3.8843
3.8843 0.0000 3.8843
3.8843 3.8843 0.0000
Ac Nd Zn Hg
1 1 1 1
direct
0.0000 0.0000 0.0000
0.5000 0.5000 0.5000
0.2500 0.2500 0.2500
0.7500 0.7500 0.7500
```

* relative energy among the computed polymorphs: 3.0 kJ per mole of atoms
* magnetic moment: 0.481 μB/cell
* energy of formation from the pure elements: -0.339 eV per atom
* total DFT energy (no corrections): -11.81 eV for the cell shown


A plane-wave DFT calculation with PBE was carried out for an optimized crystal structure of Ac2NiHg.

```
Ac2NiHg
1.0
0.0000 3.8943 3.8943
3.8943 0.0000 3.8943
3.8943 3.8943 0.0000
Ac Ni Hg
2 1 1
direct
0.2500 0.2500 0.2500
0.7500 0.7500 0.7500
0.0000 0.0000 0.0000
0.5000 0.5000 0.5000
```

* relative energy among the computed polymorphs: 8.8 kJ per mole of atoms
* magnetic moment: 0.000 μB/cell
* energy of formation from the pure elements: -0.232 eV per atom
* total DFT energy (no corrections): -15.23 eV for the cell shown


- Which value of magnetic moment does entry 2 give?
  0.000 μB/cell